Entry 1:
An optimized crystal structure of KAlN2F. Source: Alexandria via LeMat-Bulk, functional GGA-PBE.

```
data_KAlN2F
_chemical_formula_sum 'K1 Al1 N2 F1'
_space_group_name_H-M_alt 'P 1'
_space_group_IT_number 1
_cell_length_a 5.1870
_cell_length_b 5.1870
_cell_length_c 4.7542
_cell_angle_alpha 90.00
_cell_angle_beta 90.00
_cell_angle_gamma 90.00
loop_
_space_group_symop_operation_xyz
'x,y,z'
loop_
_atom_site_label
_atom_site_type_symbol
_atom_site_fract_x
_atom_site_fract_y
_atom_site_fract_z
_atom_site_occupancy
K1 K 0.0000 0.0000 0.0000 1
N1 N 0.0000 0.5000 0.0000 1
N2 N 0.5000 0.0000 0.0000 1
Al1 Al 0.5000 0.5000 0.5000 1
F1 F 0.0000 0.0000 0.5000 1
```

Values from the calculation:
As for the polymorph energy (0 for the lowest one): 1859.1 meV per atom. The value obtained for the uncorrected formation energy is 1.375 eV/atom. The density of states at the Fermi level comes out at 2.07 states/eV/cell.

=====

Entry 2:
An optimized crystal structure of Li3Zn. Source: Alexandria via LeMat-Bulk, functional GGA-PBE.

```
data_Li3Zn
_chemical_formula_sum 'Li3 Zn1'
_space_group_name_H-M_alt 'P 1'
_space_group_IT_number 1
_cell_length_a 3.7880
_cell_length_b 4.1950
_cell_length_c 4.1913
_cell_angle_alpha 90.00
_cell_angle_beta 90.00
_cell_angle_gamma 90.00
loop_
_space_group_symop_operation_xyz
'x,y,z'
loop_
_atom_site_label
_atom_site_type_symbol
_atom_site_fract_x
_atom_site_fract_y
_atom_site_fract_z
_atom_site_occupancy
Zn1 Zn 0.5000 0.0000 0.5833 1
Li1 Li 0.0000 0.0000 0.0833 1
Li2 Li 0.0000 0.5000 0.5833 1
Li3 Li 0.5000 0.5000 0.0833 1
```

Values from the calculation:
As for the formation enthalpy at 0 K: -0.08 eV per atom. The density of states at the Fermi level comes out at 1.59 states/eV/cell.

=====

Entry 3:
An optimized crystal structure of Sr2Hg3Bi3. Source: Alexandria via LeMat-Bulk, functional GGA-PBE.

```
data_Sr2Hg3Bi3
_chemical_formula_sum 'Sr2 Hg3 Bi3'
_space_group_name_H-M_alt 'P 1'
_space_group_IT_number 1
_cell_length_a 5.0470
_cell_length_b 4.6865
_cell_length_c 10.3866
_cell_angle_alpha 90.00
_cell_angle_beta 90.00
_cell_angle_gamma 90.00
loop_
_space_group_symop_operation_xyz
'x,y,z'
loop_
_atom_site_label
_atom_site_type_symbol
_atom_site_fract_x
_atom_site_fract_y
_atom_site_fract_z
_atom_site_occupancy
Sr1 Sr 0.0000 0.0000 0.7557 1
Sr2 Sr 0.0000 0.0000 0.2443 1
Hg1 Hg 0.5000 0.5000 0.7534 1
Hg2 Hg 0.5000 0.5000 0.2466 1
Hg3 Hg 0.5000 0.0000 0.0000 1
Bi1 Bi 0.5000 0.0000 0.5000 1
Bi2 Bi 0.0000 0.5000 0.0000 1
Bi3 Bi 0.0000 0.5000 0.5000 1
```

Values from the calculation:
As for the formation enthalpy at 0 K: -0.43 eV per atom. The density of states at the Fermi level comes out at 4.30 states/eV/cell.

=====

Entry 4:
An optimized crystal structure of YNiRh2. Source: Alexandria via LeMat-Bulk, functional GGA-PBE.

```
data_YNiRh2
_chemical_formula_sum 'Y3 Ni3 Rh6'
_space_group_name_H-M_alt 'P 1'
_space_group_IT_number 1
_cell_length_a 5.2816
_cell_length_b 5.2816
_cell_length_c 8.8018
_cell_angle_alpha 72.54
_cell_angle_beta 72.54
_cell_angle_gamma 60.00
loop_
_space_group_symop_operation_xyz
'x,y,z'
loop_
_atom_site_label
_atom_site_type_symbol
_atom_site_fract_x
_atom_site_fract_y
_atom_site_fract_z
_atom_site_occupancy
Y1 Y 0.8596 0.8596 0.4213 1
Y2 Y 0.1404 0.1404 0.5787 1
Y3 Y 0.0000 0.0000 0.0000 1
Ni1 Ni 0.6670 0.6670 0.9990 1
Ni2 Ni 0.3330 0.3330 0.0010 1
Ni3 Ni 0.5000 0.5000 0.5000 1
Rh1 Rh 0.4176 0.4176 0.2459 1
Rh2 Rh 0.9189 0.4176 0.2459 1
Rh3 Rh 0.4176 0.9189 0.2459 1
Rh4 Rh 0.5824 0.5824 0.7541 1
Rh5 Rh 0.5824 0.0811 0.7541 1
Rh6 Rh 0.0811 0.5824 0.7541 1
```

Values from the calculation:
As for the formation enthalpy at 0 K: -0.55 eV per atom. The density of states at the Fermi level comes out at 9.33 states/eV/cell.

=====

Entry 5:
An optimized crystal structure of NbFe2S4. Source: Alexandria via LeMat-Bulk, functional GGA-PBE.

```
data_NbFe2S4
_chemical_formula_sum 'Nb1 Fe2 S4'
_space_group_name_H-M_alt 'P 1'
_space_group_IT_number 1
_cell_length_a 4.9050
_cell_length_b 4.9050
_cell_length_c 6.7172
_cell_angle_alpha 68.59
_cell_angle_beta 68.59
_cell_angle_gamma 90.00
loop_
_space_group_symop_operation_xyz
'x,y,z'
loop_
_atom_site_label
_atom_site_type_symbol
_atom_site_fract_x
_atom_site_fract_y
_atom_site_fract_z
_atom_site_occupancy
S1 S 0.2074 0.2074 0.5851 1
S2 S 0.7926 0.7926 0.4149 1
S3 S 0.0000 0.5000 0.0000 1
S4 S 0.5000 0.0000 0.0000 1
Nb1 Nb 0.0000 0.0000 0.0000 1
Fe1 Fe 0.3973 0.3973 0.2054 1
Fe2 Fe 0.6027 0.6027 0.7946 1
```

Values from the calculation:
The value obtained for the uncorrected formation energy is -0.034 eV/atom. The density of states at the Fermi level comes out at 6.86 states/eV/cell.

=====

Entry 6:
An optimized crystal structure of Sm2Ho9Tm. Source: Alexandria via LeMat-Bulk, functional GGA-PBE.

```
data_Sm2Ho9Tm
_chemical_formula_sum 'Sm2 Ho9 Tm1'
_space_group_name_H-M_alt 'P 1'
_space_group_IT_number 1
_cell_length_a 3.4806
_cell_length_b 11.1806
_cell_length_c 11.1806
_cell_angle_alpha 120.00
_cell_angle_beta 90.00
_cell_angle_gamma 90.00
loop_
_space_group_symop_operation_xyz
'x,y,z'
loop_
_atom_site_label
_atom_site_type_symbol
_atom_site_fract_x
_atom_site_fract_y
_atom_site_fract_z
_atom_site_occupancy
Sm1 Sm 0.0000 0.3333 0.6667 1
Sm2 Sm 0.0000 0.6667 0.3333 1
Ho1 Ho 0.0000 0.0000 0.5000 1
Ho2 Ho 0.0000 0.5000 0.5000 1
Ho3 Ho 0.0000 0.5000 0.0000 1
Ho4 Ho 0.5000 0.3480 0.1740 1
Ho5 Ho 0.5000 0.1740 0.8260 1
Ho6 Ho 0.5000 0.1740 0.3480 1
Ho7 Ho 0.5000 0.8260 0.6520 1
Ho8 Ho 0.5000 0.8260 0.1740 1
Ho9 Ho 0.5000 0.6520 0.8260 1
Tm1 Tm 0.0000 0.0000 0.0000 1
```

Values from the calculation:
As for the formation enthalpy at 0 K: 0.07 eV per atom. As for the polymorph energy (0 for the lowest one): 45.2 meV per atom. The density of states at the Fermi level comes out at 20.52 states/eV/cell.

=====

Entry 7:
An optimized crystal structure of Nd8MgPt2. Source: Alexandria via LeMat-Bulk, functional GGA-PBE.

```
data_Nd8MgPt2
_chemical_formula_sum 'Nd8 Mg1 Pt2'
_space_group_name_H-M_alt 'P 1'
_space_group_IT_number 1
_cell_length_a 6.4120
_cell_length_b 8.3637
_cell_length_c 8.3637
_cell_angle_alpha 63.27
_cell_angle_beta 110.82
_cell_angle_gamma 110.82
loop_
_space_group_symop_operation_xyz
'x,y,z'
loop_
_atom_site_label
_atom_site_type_symbol
_atom_site_fract_x
_atom_site_fract_y
_atom_site_fract_z
_atom_site_occupancy
Nd1 Nd 0.2762 0.4284 0.8182 1
Nd2 Nd 0.7238 0.1818 0.5716 1
Nd3 Nd 0.2888 0.8633 0.8633 1
Nd4 Nd 0.7112 0.1367 0.1367 1
Nd5 Nd 0.2762 0.8182 0.4284 1
Nd6 Nd 0.7238 0.5716 0.1818 1
Nd7 Nd 0.7662 0.6201 0.6201 1
Nd8 Nd 0.2338 0.3799 0.3799 1
Mg1 Mg 0.0000 0.0000 0.0000 1
Pt1 Pt 0.6649 0.8003 0.8003 1
Pt2 Pt 0.3351 0.1997 0.1997 1
```

Values from the calculation:
As for the formation enthalpy at 0 K: -0.27 eV per atom. The density of states at the Fermi level comes out at 13.68 states/eV/cell.

=====

Entry 8:
An optimized crystal structure of NpPa5N6. Source: Alexandria via LeMat-Bulk, functional GGA-PBE.

```
data_NpPa5N6
_chemical_formula_sum 'Np1 Pa5 N6'
_space_group_name_H-M_alt 'P 1'
_space_group_IT_number 1
_cell_length_a 6.0526
_cell_length_b 6.0595
_cell_length_c 6.0580
_cell_angle_alpha 59.99
_cell_angle_beta 80.43
_cell_angle_gamma 70.59
loop_
_space_group_symop_operation_xyz
'x,y,z'
loop_
_atom_site_label
_atom_site_type_symbol
_atom_site_fract_x
_atom_site_fract_y
_atom_site_fract_z
_atom_site_occupancy
Np1 Np 0.0000 0.0000 0.0000 1
Pa1 Pa 0.5000 0.1655 0.6690 1
Pa2 Pa 0.0000 0.3331 0.3338 1
Pa3 Pa 0.5000 0.5000 0.0000 1
Pa4 Pa 0.0000 0.6669 0.6662 1
Pa5 Pa 0.5000 0.8345 0.3310 1
N1 N 0.7479 0.0843 0.3359 1
N2 N 0.2521 0.5798 0.3359 1
N3 N 0.2505 0.2526 0.0000 1
N4 N 0.7495 0.7474 0.0000 1
N5 N 0.7479 0.4202 0.6641 1
N6 N 0.2521 0.9157 0.6641 1
```

Values from the calculation:
The value obtained for the uncorrected formation energy is -1.554 eV/atom. The density of states at the Fermi level comes out at 12.89 states/eV/cell.

=====

Entry 9:
An optimized crystal structure of Tb4ErRh5. Source: Alexandria via LeMat-Bulk, functional GGA-PBE.

```
data_Tb4ErRh5
_chemical_formula_sum 'Tb4 Er1 Rh5'
_space_group_name_H-M_alt 'P 1'
_space_group_IT_number 1
_cell_length_a 3.4585
_cell_length_b 3.4585
_cell_length_c 16.8965
_cell_angle_alpha 90.00
_cell_angle_beta 90.00
_cell_angle_gamma 90.00
loop_
_space_group_symop_operation_xyz
'x,y,z'
loop_
_atom_site_label
_atom_site_type_symbol
_atom_site_fract_x
_atom_site_fract_y
_atom_site_fract_z
_atom_site_occupancy
Tb1 Tb 0.0000 0.0000 0.1987 1
Tb2 Tb 0.0000 0.0000 0.3995 1
Tb3 Tb 0.0000 0.0000 0.6005 1
Tb4 Tb 0.0000 0.0000 0.8013 1
Er1 Er 0.0000 0.0000 0.0000 1
Rh1 Rh 0.5000 0.5000 0.0976 1
Rh2 Rh 0.5000 0.5000 0.2990 1
Rh3 Rh 0.5000 0.5000 0.5000 1
Rh4 Rh 0.5000 0.5000 0.7010 1
Rh5 Rh 0.5000 0.5000 0.9024 1
```

Values from the calculation:
As for the formation enthalpy at 0 K: -0.86 eV per atom. The density of states at the Fermi level comes out at 6.82 states/eV/cell.

=====

Entry 10:
An optimized crystal structure of RbHo6Se8. Source: Alexandria via LeMat-Bulk, functional GGA-PBE.

```
data_RbHo6Se8
_chemical_formula_sum 'Rb1 Ho6 Se8'
_space_group_name_H-M_alt 'P 1'
_space_group_IT_number 1
_cell_length_a 4.1537
_cell_length_b 10.9645
_cell_length_c 10.9645
_cell_angle_alpha 120.00
_cell_angle_beta 90.00
_cell_angle_gamma 90.00
loop_
_space_group_symop_operation_xyz
'x,y,z'
loop_
_atom_site_label
_atom_site_type_symbol
_atom_site_fract_x
_atom_site_fract_y
_atom_site_fract_z
_atom_site_occupancy
Rb1 Rb 0.5000 0.0000 0.0000 1
Ho1 Ho 0.7501 0.5177 0.6558 1
Ho2 Ho 0.7501 0.3442 0.8618 1
Ho3 Ho 0.7501 0.1382 0.4823 1
Ho4 Ho 0.2499 0.4823 0.3442 1
Ho5 Ho 0.2499 0.6558 0.1382 1
Ho6 Ho 0.2499 0.8618 0.5177 1
Se1 Se 0.7497 0.6430 0.9554 1
Se2 Se 0.7497 0.0446 0.6876 1
Se3 Se 0.7497 0.3124 0.3570 1
Se4 Se 0.2503 0.3570 0.0446 1
Se5 Se 0.2503 0.9554 0.3124 1
Se6 Se 0.2503 0.6876 0.6430 1
Se7 Se 0.7497 0.6667 0.3333 1
Se8 Se 0.2503 0.3333 0.6667 1
```

Values from the calculation:
The value obtained for the uncorrected formation energy is -1.731 eV/atom. The density of states at the Fermi level comes out at 11.07 states/eV/cell.